Record 1
A PBEsol-optimized structure of BaMgCu2Ru. Source: Alexandria, functional meta-GGA SCAN.

Geometry as CIF:
```
data_BaMgCu2Ru
_chemical_formula_sum 'Ba1 Mg1 Cu2 Ru1'
_symmetry_space_group_name_H-M 'P 4/m m m'
_symmetry_Int_Tables_number 123
_symmetry_space_group_name_Hall '-P 4 2'
_cell_length_a 4.528
_cell_length_b 4.528
_cell_length_c 5.761
_cell_angle_alpha 90.00
_cell_angle_beta 90.00
_cell_angle_gamma 90.00
loop_
_atom_site_label
_atom_site_type_symbol
_atom_site_fract_x
_atom_site_fract_y
_atom_site_fract_z
_atom_site_occupancy
Ba1 Ba 0.000 0.000 0.000 1
Mg1 Mg 0.000 0.000 0.500 1
Cu1 Cu 0.000 0.500 0.500 1
Ru1 Ru 0.500 0.500 0.000 1
```

Electronic total energy = -20.52 eV per atom


Record 2
A PBEsol-optimized structure of Rb3ZrTa. Source: Alexandria, functional meta-GGA SCAN.

Geometry as CIF:
```
data_Rb3ZrTa
_chemical_formula_sum 'Rb3 Zr1 Ta1'
_symmetry_space_group_name_H-M 'P m -3 m'
_symmetry_Int_Tables_number 221
_symmetry_space_group_name_Hall '-P 4 2 3'
_cell_length_a 6.594
_cell_length_b 6.594
_cell_length_c 6.594
_cell_angle_alpha 90.00
_cell_angle_beta 90.00
_cell_angle_gamma 90.00
loop_
_atom_site_label
_atom_site_type_symbol
_atom_site_fract_x
_atom_site_fract_y
_atom_site_fract_z
_atom_site_occupancy
Rb1 Rb 0.000 0.000 0.500 1
Zr1 Zr 0.000 0.000 0.000 1
Ta1 Ta 0.500 0.500 0.500 1
```

Electronic total energy = -29.58 eV per atom


Record 3
A PBEsol-optimized structure of SrLa4W. Source: Alexandria, functional meta-GGA SCAN.

Geometry as CIF:
```
data_SrLa4W
_chemical_formula_sum 'Sr4 La16 W4'
_symmetry_space_group_name_H-M 'F -4 3 m'
_symmetry_Int_Tables_number 216
_symmetry_space_group_name_Hall 'F -4 2 3'
_cell_length_a 8.968
_cell_length_b 8.968
_cell_length_c 8.968
_cell_angle_alpha 90.00
_cell_angle_beta 90.00
_cell_angle_gamma 90.00
loop_
_atom_site_label
_atom_site_type_symbol
_atom_site_fract_x
_atom_site_fract_y
_atom_site_fract_z
_atom_site_occupancy
Sr1 Sr 0.000 0.000 0.000 1
La1 La 0.122 0.122 0.622 1
W1 W 0.250 0.250 0.250 1
```

Electronic total energy = -43.09 eV per atom


Calculated M_tot, 1.97, 9.36, 0.29 μB/f.u. (same order as the records).